Compound: CaGe
Source: Alexandria via LeMat-Bulk
Functional: GGA-PBE
Structure: relaxed

Results
- crystal system = cubic
- E_form (kJ/mol of formula units) = 82
- DOS at the Fermi energy (states/eV/f.u.) = 2.092

Cell: 8.418 8.418 8.418 Å, 90.00 90.00 90.00°
Sites, in units of the cell vectors:
Ca  0.500  0.250  0.000
Ca  0.500  0.750  0.000
Ge  0.500  0.000  0.750
Ge  0.750  0.500  0.000
Ge  0.000  0.750  0.500
Ca  0.000  0.500  0.250
Ca  0.250  0.000  0.500
Ge  0.000  0.250  0.500
Ca  0.750  0.000  0.500
Ge  0.250  0.500  0.000
Ge  0.500  0.000  0.250
Ca  0.000  0.500  0.750